# 1
The following is a DFT calculation (PBE) of a relaxed Tl2In5Ga crystal.

The space group is I4/mmm (No. 139) and the conventional cell measures 5.265, 5.265 and 15.878 Å, with angles of 90.00, 90.00 and 90.00 degrees. The distinct sites, in fractional coordinates, are Tl at (0.000, 0.000, 0.248), In at (0.000, 0.000, 0.500), In at (0.000, 0.500, 0.112) and Ga at (0.000, 0.000, 0.000).

=====

# 2
The following is a DFT calculation (PBE) of a relaxed TlIn3Ga crystal.

The space group is Pm-3m (No. 221) and the conventional cell measures 5.745, 5.745 and 5.745 Å, with angles of 90.00, 90.00 and 90.00 degrees. The distinct sites, in fractional coordinates, are Tl at (0.000, 0.000, 0.000), In at (0.000, 0.000, 0.500) and Ga at (0.500, 0.500, 0.500).

=====

# 3
The following is a DFT calculation (PBE) of a relaxed TlInGa4 crystal.

The space group is F-43m (No. 216) and the conventional cell measures 8.169, 8.169 and 8.169 Å, with angles of 90.00, 90.00 and 90.00 degrees. The distinct sites, in fractional coordinates, are Tl at (0.000, 0.000, 0.000), In at (0.250, 0.250, 0.250) and Ga at (0.125, 0.125, 0.625).

=====

Result set for energy: -21.19, -10.77, -16.88 eV/f.u., one per record in the order listed.
Result set for formation enthalpy at 0 K: 0.03, 0.57, 0.06 eV/atom, one per record in the order listed.